[1]
A relaxed Pm4Hg3Pt crystal. Source: the Alexandria database, functional PBE.

Lattice parameters (Å, degrees): 3.7386 3.7386 15.1588 90.00 90.00 90.00
Space group P4/mmm (No. 123)
Symmetry-distinct sites (fractional):
Pm 0.0000 0.0000 0.1101 (multiplicity 2)
Pm 0.0000 0.0000 0.3704 (multiplicity 2)
Hg 0.5000 0.5000 0.2453 (multiplicity 2)
Hg 0.5000 0.5000 0.5000 (multiplicity 1)
Pt 0.5000 0.5000 0.0000 (multiplicity 1)

Output
- E_form (eV/atom) = -0.6321

[2]
A relaxed PmHgPt2 crystal. Source: the Alexandria database, functional PBE.

Lattice parameters (Å, degrees): 4.7211 4.7211 13.3427 90.00 90.00 120.00
Space group R-3m (No. 166, hexagonal axes)
Symmetry-distinct sites (fractional):
Pm 0.0000 0.0000 0.0000 (multiplicity 3)
Hg 0.0000 0.0000 0.5000 (multiplicity 3)
Pt 0.0000 0.0000 0.2212 (multiplicity 6)

Output
- E_form (eV/atom) = -0.6685

[3]
A relaxed Pm4HgPt2 crystal. Source: the Alexandria database, functional PBE.

Lattice parameters (Å, degrees): 9.2249 9.2249 8.9024 90.00 90.00 90.00
Space group I-42d (No. 122)
Symmetry-distinct sites (fractional):
Pm 0.0692 0.6766 0.4277 (multiplicity 16)
Hg 0.0000 0.0000 0.5000 (multiplicity 4)
Pt 0.1318 0.7500 0.1250 (multiplicity 8)

Output
- E_form (eV/atom) = -0.7429

[4]
A relaxed Pm2HgPt3 crystal. Source: the Alexandria database, functional PBE.

Lattice parameters (Å, degrees): 7.3400 9.6949 15.3690 90.00 90.00 90.00
Space group Fmmm (No. 69)
Symmetry-distinct sites (fractional):
Pm 0.2434 0.0000 0.0000 (multiplicity 8)
Pm 0.2500 0.2500 0.2500 (multiplicity 8)
Hg 0.0000 0.0000 0.3332 (multiplicity 8)
Pt 0.0000 0.0000 0.1569 (multiplicity 8)
Pt 0.0000 0.2486 0.0871 (multiplicity 16)

Output
- E_form (eV/atom) = -0.8073

[5]
A relaxed Pm4HgPt crystal. Source: the Alexandria database, functional PBE.

Lattice parameters (Å, degrees): 14.0154 14.0154 14.0154 90.00 90.00 90.00
Space group F-43m (No. 216)
Symmetry-distinct sites (fractional):
Pm 0.0000 0.0000 0.1868 (multiplicity 24)
Pm 0.0587 0.2500 0.7500 (multiplicity 24)
Pm 0.1031 0.1031 0.3969 (multiplicity 16)
Hg 0.1647 0.1647 0.1647 (multiplicity 16)
Pt 0.1062 0.1062 0.6062 (multiplicity 16)

Output
- E_form (eV/atom) = -0.6053

[6]
A relaxed Pm5HgPt2 crystal. Source: the Alexandria database, functional PBE.

Lattice parameters (Å, degrees): 8.0760 8.0760 13.5104 90.00 90.00 90.00
Space group I4/mcm (No. 140)
Symmetry-distinct sites (fractional):
Pm 0.0000 0.0000 0.0000 (multiplicity 4)
Pm 0.1608 0.3392 0.1385 (multiplicity 16)
Hg 0.0000 0.0000 0.2500 (multiplicity 4)
Pt 0.1335 0.3665 0.5000 (multiplicity 8)

Output
- E_form (eV/atom) = -0.7432

[7]
A relaxed Pm12HgPt6 crystal. Source: the Alexandria database, functional PBE.

Lattice parameters (Å, degrees): 10.2426 10.2426 10.2426 90.00 90.00 90.00
Space group Im-3 (No. 204)
Symmetry-distinct sites (fractional):
Pm 0.0000 0.1803 0.3010 (multiplicity 24)
Hg 0.0000 0.0000 0.0000 (multiplicity 2)
Pt 0.0000 0.3641 0.5000 (multiplicity 12)

Output
- E_form (eV/atom) = -0.7616

[8]
A relaxed PmHg2Pt crystal. Source: the Alexandria database, functional PBE.

Lattice parameters (Å, degrees): 4.1645 10.2110 8.7147 90.00 90.00 90.00
Space group Cmcm (No. 63)
Symmetry-distinct sites (fractional):
Pm 0.0000 0.0692 0.2500 (multiplicity 4)
Hg 0.0000 0.3619 0.0470 (multiplicity 8)
Pt 0.0000 0.2276 0.7500 (multiplicity 4)

Output
- E_form (eV/atom) = -0.5843

[9]
A relaxed PmHgPt2 crystal. Source: the Alexandria database, functional PBE.

Lattice parameters (Å, degrees): 5.5457 4.3246 7.2605 90.00 90.00 90.00
Space group Pmma (No. 51)
Symmetry-distinct sites (fractional):
Pm 0.2500 0.0000 0.2340 (multiplicity 2)
Hg 0.2500 0.5000 0.8892 (multiplicity 2)
Pt 0.0000 0.5000 0.5000 (multiplicity 2)
Pt 0.2500 0.0000 0.6376 (multiplicity 2)

Output
- E_form (eV/atom) = -0.7439

[10]
A relaxed Pm6Hg5Pt crystal. Source: the Alexandria database, functional PBE.

Lattice parameters (Å, degrees): 16.7825 7.6014 5.3096 90.00 108.33 90.00
Space group C2/m (No. 12)
Symmetry-distinct sites (fractional):
Pm 0.0000 0.2301 0.0000 (multiplicity 4)
Pm 0.1578 0.2367 0.6580 (multiplicity 8)
Hg 0.0000 0.5000 0.5000 (multiplicity 2)
Hg 0.1666 0.5000 0.1669 (multiplicity 4)
Hg 0.1832 0.0000 0.1836 (multiplicity 4)
Pt 0.0000 0.0000 0.5000 (multiplicity 2)

Output
- E_form (eV/atom) = -0.5806

[11]
A relaxed Pm4Hg2Pt crystal. Source: the Alexandria database, functional PBE.

Lattice parameters (Å, degrees): 5.5293 5.5293 15.1574 90.00 90.00 90.00
Space group I4/mmm (No. 139)
Symmetry-distinct sites (fractional):
Pm 0.0000 0.0000 0.1886 (multiplicity 4)
Pm 0.0000 0.5000 0.0000 (multiplicity 4)
Hg 0.0000 0.0000 0.3873 (multiplicity 4)
Pt 0.0000 0.0000 0.0000 (multiplicity 2)

Output
- E_form (eV/atom) = -0.3775

[12]
A relaxed Pm2Hg2Pt crystal. Source: the Alexandria database, functional PBE.

Lattice parameters (Å, degrees): 6.8561 13.2051 5.8473 90.00 90.00 90.00
Space group Ibam (No. 72)
Symmetry-distinct sites (fractional):
Pm 0.2099 0.1558 0.0000 (multiplicity 8)
Hg 0.1537 0.4050 0.0000 (multiplicity 8)
Pt 0.0000 0.0000 0.2500 (multiplicity 4)

Output
- E_form (eV/atom) = -0.5566